VASP calculation (PBE+U) on RbTi2NiO after structural relaxation.

The space group is P4/mmm (No. 123) and the conventional cell measures 4.543, 4.543 and 5.095 Å, with angles of 90.00, 90.00 and 90.00 degrees. The inequivalent atoms are Rb at (0.000, 0.000, 0.000), Ti at (0.000, 0.500, 0.500), Ni at (0.500, 0.500, 0.500) and O at (0.500, 0.500, 0.000).

As for the density of states at the Fermi level: 5.19 states/eV/f.u. The value obtained for the total moment is 2.7 μB/f.u. Its calculated total energy is -0.14027 hartree per atom.